(1)
Er3UAs4 after structural relaxation. Source: Alexandria, functional GGA-PBE.

Lattice parameters (Å, degrees): 7.0626 7.0626 7.0626 131.77 131.77 70.59
Element x y z (fractional)
1 Er 0.0000 0.0000 0.0000
2 Er 0.2500 0.7500 0.5000
3 Er 0.7500 0.2500 0.5000
4 U 0.5000 0.5000 0.0000
5 As 0.0000 0.5000 0.5000
6 As 0.2527 0.2527 0.0000
7 As 0.5000 0.0000 0.5000
8 As 0.7473 0.7473 0.0000

Summary:
- symmetry = I4/mmm (139)

***

(2)
Er5U3As8 after structural relaxation. Source: Alexandria, functional GGA-PBE.

Lattice parameters (Å, degrees): 8.1841 8.1841 8.1841 59.57 59.57 59.57
Element x y z (fractional)
1 Er 0.0000 0.0000 0.0000
2 Er 0.0000 0.5000 0.5000
3 Er 0.5000 0.0000 0.5000
4 Er 0.5000 0.5000 0.0000
5 Er 0.5000 0.5000 0.5000
6 U 0.0000 0.0000 0.5000
7 U 0.0000 0.5000 0.0000
8 U 0.5000 0.0000 0.0000
9 As 0.2491 0.7501 0.7501
10 As 0.2499 0.2499 0.7509
11 As 0.2499 0.7509 0.2499
12 As 0.2505 0.2505 0.2505
13 As 0.7495 0.7495 0.7495
14 As 0.7501 0.2491 0.7501
15 As 0.7501 0.7501 0.2491
16 As 0.7509 0.2499 0.2499

Summary:
- symmetry = R-3m (166)

***

(3)
ErUAs2 after structural relaxation. Source: Alexandria, functional GGA-PBE.

Lattice parameters (Å, degrees): 7.5474 7.5474 7.5474 30.43 30.43 30.43
Element x y z (fractional)
1 Er 0.0000 0.0000 0.0000
2 U 0.1711 0.1711 0.1711
3 As 0.4173 0.4173 0.4173
4 As 0.5883 0.5883 0.5883

Summary:
- symmetry = R3m (160)
- excess energy over the best structure of this formula in the dataset (meV/atom) = 138

***

| no. | energy of formation (eV per atom) |
| --- | --- |
| 1 | -1.3161 |
| 2 | -1.2195 |
| 3 | -0.9892 |